Entry 1:
VASP calculation (GGA-PBE) on a relaxed Al3Cr2 crystal.

Output
Energy of formation from the pure elements in eV/atom: 0.090
Fermi-level density of states in states/eV/f.u.: 3.73
Symmetry: R-3m
DFT total energy in eV/atom: -6.005

Geometry as POSCAR:
```
Al3Cr2
1.0
1.3607 0.7856 10.8070
-1.3607 0.7856 10.8070
0.0000 -1.5713 10.8070
Al Cr
3 2
Cartesian
0.0000 0.0000 0.0000
0.0000 0.0000 6.5719
0.0000 0.0000 25.8491
0.0000 0.0000 12.9519
0.0000 0.0000 19.4691
```



Entry 2:
VASP calculation (GGA-PBE) on a relaxed CsUTl2Br6 crystal.

Output
Raw formation energy in meV/atom: -1233
Symmetry: P2_1/c
DFT total energy in eV/atom: -3.924

Geometry as POSCAR:
```
CsUTl2Br6
1.0
7.9854 0.0000 0.0000
0.0000 9.1656 0.0000
-7.3863 0.0000 11.6913
Cs U Tl Br
2 2 4 12
Cartesian
0.0000 0.0000 0.0000
-3.6931 4.5828 5.8457
0.2996 0.0000 5.8457
3.9927 4.5828 0.0000
-3.6769 0.5227 8.3676
0.0163 4.0601 2.5219
0.5828 5.1055 9.1694
4.2760 8.6430 3.3237
-2.2104 1.4275 5.4959
-5.9035 3.1553 11.3416
-4.6777 6.8632 10.3787
-0.9845 6.8853 4.5330
1.3120 0.9767 3.2871
-2.3811 3.6061 9.1328
2.9802 5.5595 2.5586
-0.7129 8.1890 8.4042
1.5837 2.2804 7.1583
5.2768 2.3024 1.3127
6.5026 6.0103 0.3498
2.8095 7.7381 6.1954
```



Entry 3:
VASP calculation (GGA-PBE) on a relaxed SrTaO3 crystal.

Output
Fermi-level density of states in states/eV/f.u.: 0.12
Raw formation energy in meV/atom: -2622
Symmetry: Amm2
DFT total energy in eV/atom: -8.304

Geometry as POSCAR:
```
SrTaO3
1.0
3.7347 0.0000 0.0000
0.0000 3.1821 4.7855
0.0000 -3.1821 4.7855
Sr Ta O
1 1 3
Cartesian
0.0000 0.0000 0.0000
1.8674 0.0000 6.3267
0.0000 0.0000 6.9922
1.8674 -1.6177 5.4070
1.8674 1.6177 5.4070
```



Entry 4:
VASP calculation (GGA-PBE) on a relaxed TiAl2Fe crystal.

Output
Energy of formation from the pure elements in eV/atom: -0.352
Fermi-level density of states in states/eV/f.u.: 5.11
Symmetry: P4/mmm
DFT total energy in eV/atom: -6.312

Geometry as POSCAR:
```
TiAl2Fe
1.0
2.8770 0.0000 0.0000
0.0000 2.8770 0.0000
0.0000 0.0000 6.7602
Ti Al Fe
1 2 1
Cartesian
0.0000 0.0000 0.0000
1.4385 1.4385 1.9915
1.4385 1.4385 4.7688
0.0000 0.0000 3.3801
```



Entry 5:
VASP calculation (GGA-PBE) on a relaxed Pm2Pr2Ho2Mg crystal.

Output
Energy of formation from the pure elements in eV/atom: 0.089
Fermi-level density of states in states/eV/f.u.: 10.43
Symmetry: C2/m
DFT total energy in eV/atom: -4.170

Geometry as POSCAR:
```
Pm2Pr2Ho2Mg
1.0
5.9069 -1.7665 0.0000
5.9069 1.7665 0.0000
-4.4145 0.0000 11.0159
Pm Pr Ho Mg
2 2 2 1
Cartesian
1.1790 0.0000 3.9777
6.2203 0.0000 7.0381
4.2738 0.0000 2.5836
3.1255 0.0000 8.4322
-0.1268 0.0000 10.1098
7.5261 0.0000 0.9061
-2.2073 0.0000 5.5079
```



Entry 6:
VASP calculation (GGA-PBE) on a relaxed Mn2CoP crystal.

Output
Energy of formation from the pure elements in eV/atom: -0.147
Fermi-level density of states in states/eV/f.u.: 3.61
Symmetry: P4mm
DFT total energy in eV/atom: -7.861

Geometry as POSCAR:
```
Mn2CoP
1.0
2.7192 0.0000 0.0000
0.0000 2.7192 0.0000
0.0000 0.0000 6.0766
Mn Co P
2 1 1
Cartesian
0.0000 0.0000 0.0000
1.3596 1.3596 1.6672
1.3596 1.3596 4.2737
0.0000 0.0000 2.9915
```